1.
Below is a geometry-optimized SmPtAu structure, with properties calculated at the PBE-GGA level.

Polymorph energy (0 for the lowest one): 0.000 eV/atom
SG: No. 216

a = 4.6817 Å, b = 4.6817 Å, c = 4.6817 Å
α = 60.00°, β = 60.00°, γ = 60.00°
With the nearest neighbours (Å) after each atom.
Element x y z (fractional)
Au: 0.2500 0.2500 0.2500  4 Pt 2.87
Pt: 0.0000 0.0000 0.0000  4 Sm 2.87, 4 Au 2.87
Sm: 0.7500 0.7500 0.7500  4 Pt 2.87

=====

2.
Below is a geometry-optimized SmZn3PtAu structure, with properties calculated at the PBE-GGA level.

E: -3.581 eV/atom
SG: No. 187

a = 5.3569 Å, b = 5.3569 Å, c = 4.3983 Å
α = 90.00°, β = 90.00°, γ = 120.00°
With the nearest neighbours (Å) after each atom.
Element x y z (fractional)
Au: 0.6667 0.3333 0.0000  6 Zn 2.70
Pt: 0.3333 0.6667 0.0000  6 Zn 2.67
Sm: 0.0000 0.0000 0.0000  3 Au 3.09, 3 Pt 3.09
Zn: 0.0055 0.5028 0.5000  4 Zn 2.63-2.72, 2 Pt 2.67, 2 Au 2.70
Zn: 0.4972 0.5028 0.5000  4 Zn 2.63-2.72, 2 Pt 2.67, 2 Au 2.70
Zn: 0.4972 0.9945 0.5000  4 Zn 2.63-2.72, 2 Pt 2.67, 2 Au 2.70

=====

3.
Below is a geometry-optimized Sn5Pt3Au structure, with properties calculated at the PBE-GGA level.

E: -4.769 eV/atom
SG: No. 191

a = 5.4994 Å, b = 5.4994 Å, c = 7.9408 Å
α = 90.00°, β = 90.00°, γ = 120.00°
With the nearest neighbours (Å) after each atom.
Element x y z (fractional)
Au: 0.0000 0.0000 0.0000  12 Sn 3.52
Pt: 0.5000 0.0000 0.5000  6 Sn 2.75-2.92, 4 Pt 2.75
Pt: 0.0000 0.5000 0.5000  4 Pt 2.75, 6 Sn 2.75-2.92
Pt: 0.5000 0.5000 0.5000  4 Pt 2.75, 6 Sn 2.75-2.92
Sn: 0.6667 0.3333 0.1917  3 Pt 2.92, 4 Sn 3.05-3.18
Sn: 0.3333 0.6667 0.1917  3 Pt 2.92, 4 Sn 3.05-3.18
Sn: 0.0000 0.0000 0.5000  6 Pt 2.75
Sn: 0.6667 0.3333 0.8083  3 Pt 2.92, 4 Sn 3.05-3.18
Sn: 0.3333 0.6667 0.8083  3 Pt 2.92, 4 Sn 3.05-3.18

=====

4.
Below is a geometry-optimized SnPt2Au structure, with properties calculated at the PBE-GGA level.

E: -4.960 eV/atom
SG: No. 216

a = 4.6357 Å, b = 4.6357 Å, c = 4.6357 Å
α = 60.00°, β = 60.00°, γ = 60.00°
With the nearest neighbours (Å) after each atom.
Element x y z (fractional)
Au: 0.2500 0.2500 0.2500  4 Sn 2.84, 4 Pt 2.84
Pt: 0.0000 0.0000 0.0000  4 Pt 2.84, 4 Au 2.84
Pt: 0.7500 0.7500 0.7500  4 Sn 2.84, 4 Pt 2.84
Sn: 0.5000 0.5000 0.5000  4 Au 2.84, 4 Pt 2.84

=====

5.
Below is a geometry-optimized SnPtAu structure, with properties calculated at the PBE-GGA level.

Polymorph energy (0 for the lowest one): 0.000 eV/atom
SG: No. 216

a = 4.4931 Å, b = 4.4931 Å, c = 4.4931 Å
α = 60.00°, β = 60.00°, γ = 60.00°
With the nearest neighbours (Å) after each atom.
Element x y z (fractional)
Au: 0.2500 0.2500 0.2500  4 Pt 2.75
Pt: 0.0000 0.0000 0.0000  4 Sn 2.75, 4 Au 2.75
Sn: 0.7500 0.7500 0.7500  4 Pt 2.75

=====

6.
Below is a geometry-optimized Sr2PtAu structure, with properties calculated at the PBE-GGA level.

E: -3.908 eV/atom
SG: No. 74

a = 7.2303 Å, b = 7.4301 Å, c = 7.6169 Å
α = 90.00°, β = 90.00°, γ = 90.00°
With the nearest neighbours (Å) after each atom.
Element x y z (fractional)
Au: 0.2493 0.2500 0.0000  8 Sr 3.22
Au: 0.7507 0.7500 0.0000  8 Sr 3.22
Au: 0.7493 0.7500 0.5000  8 Sr 3.22
Au: 0.2507 0.2500 0.5000  8 Sr 3.22
Pt: 0.7502 0.2500 0.0000  8 Sr 3.21-3.22
Pt: 0.2498 0.7500 0.0000  8 Sr 3.21-3.22
Pt: 0.7498 0.2500 0.5000  8 Sr 3.21-3.22
Pt: 0.2502 0.7500 0.5000  8 Sr 3.21-3.22
Sr: 0.5001 0.5000 0.2493  4 Pt 3.21-3.22, 4 Au 3.22
Sr: 0.5000 0.0000 0.2493  4 Pt 3.21-3.22, 4 Au 3.22
Sr: 0.0000 0.5000 0.2507  4 Pt 3.21-3.22, 4 Au 3.22
Sr: 0.0000 0.0000 0.2507  4 Pt 3.21-3.22, 4 Au 3.22
Sr: 0.0000 0.5000 0.7493  4 Pt 3.21-3.22, 4 Au 3.22
Sr: 0.0000 0.0000 0.7493  4 Pt 3.21-3.22, 4 Au 3.22
Sr: 0.4999 0.5000 0.7507  4 Pt 3.21-3.22, 4 Au 3.22
Sr: 0.5000 0.0000 0.7507  4 Pt 3.21-3.22, 4 Au 3.22

=====

7.
Below is a geometry-optimized Sr2PtAu structure, with properties calculated at the PBE-GGA level.

E: -3.922 eV/atom
SG: No. 139

a = 5.2730 Å, b = 7.4445 Å, c = 15.8160 Å
α = 90.00°, β = 90.00°, γ = 90.00°
With the nearest neighbours (Å) after each atom.
Element x y z (fractional)
Au: 0.0000 0.0000 0.0000  8 Sr 3.23
Au: 0.4998 0.5000 0.1667  8 Sr 3.23
Au: 0.9998 0.0000 0.3333  8 Sr 3.23
Au: 0.5000 0.5000 0.5000  8 Sr 3.23
Au: 0.0002 0.0000 0.6667  8 Sr 3.23
Au: 0.5002 0.5000 0.8333  8 Sr 3.23
Pt: 0.0000 0.5000 0.0000  8 Sr 3.23
Pt: 0.5001 0.0000 0.1667  8 Sr 3.23
Pt: 0.0001 0.5000 0.3333  8 Sr 3.23
Pt: 0.5000 0.0000 0.5000  8 Sr 3.23
Pt: 0.9999 0.5000 0.6667  8 Sr 3.23
Pt: 0.4999 0.0000 0.8333  8 Sr 3.23
Sr: 0.5000 0.2500 0.0000  4 Au 3.23, 4 Pt 3.23
Sr: 0.5000 0.7500 0.0000  4 Au 3.23, 4 Pt 3.23
Sr: 0.0000 0.2500 0.1667  4 Pt 3.23, 4 Au 3.23
Sr: 0.0000 0.7500 0.1667  4 Pt 3.23, 4 Au 3.23
Sr: 0.5000 0.2500 0.3333  4 Pt 3.23, 4 Au 3.23
Sr: 0.5000 0.7500 0.3333  4 Pt 3.23, 4 Au 3.23
Sr: 0.0000 0.2500 0.5000  4 Au 3.23, 4 Pt 3.23
Sr: 0.0000 0.7500 0.5000  4 Au 3.23, 4 Pt 3.23
Sr: 0.5000 0.2500 0.6667  4 Pt 3.23, 4 Au 3.23
Sr: 0.5000 0.7500 0.6667  4 Pt 3.23, 4 Au 3.23
Sr: 0.0000 0.2500 0.8333  4 Pt 3.23, 4 Au 3.23
Sr: 0.0000 0.7500 0.8333  4 Pt 3.23, 4 Au 3.23

=====

8.
Below is a geometry-optimized Sr2PtAu structure, with properties calculated at the PBE-GGA level.

E: -3.988 eV/atom
SG: No. 11

a = 6.1132 Å, b = 4.6013 Å, c = 8.4982 Å
α = 90.00°, β = 110.58°, γ = 90.00°
With the nearest neighbours (Å) after each atom.
Element x y z (fractional)
Au: 0.1591 0.2500 0.2883  2 Pt 2.90, 5 Sr 3.23-3.24
Au: 0.8409 0.7500 0.7117  2 Pt 2.90, 5 Sr 3.23-3.24
Pt: 0.8514 0.7500 0.2125  2 Au 2.90, 4 Sr 3.17-3.19
Pt: 0.1486 0.2500 0.7875  2 Au 2.90, 4 Sr 3.17-3.19
Sr: 0.2839 0.7500 0.0644  4 Pt 3.19-3.30, 3 Au 3.24-3.26
Sr: 0.7279 0.2500 0.4248  3 Pt 3.17-3.25, 4 Au 3.23-3.26
Sr: 0.2721 0.7500 0.5752  3 Pt 3.17-3.25, 4 Au 3.23-3.26
Sr: 0.7161 0.2500 0.9356  4 Pt 3.19-3.30, 3 Au 3.24-3.26